Record 1
Density functional theory data (PBE) for crystalline FeRhS at its relaxed geometry.

crystal system = trigonal
formation energy without anion corrections = -0.072 eV per atom
N(E_F) = 2.960 states/eV/cell
total energy = -6.7191 eV/atom
SG = R3m

Unit cell a=5.975 b=5.975 c=5.975 alpha=27.82 beta=27.82 gamma=27.82
Atoms (fractional coordinates):
Fe  0.000  0.000  0.000
Rh  0.547  0.547  0.547
S  0.416  0.416  0.416

***

Record 2
Density functional theory data (PBE) for crystalline SbAu3F at its relaxed geometry.

crystal system = cubic
formation energy without anion corrections = 0.275 eV per atom
N(E_F) = 2.287 states/eV/cell
total energy = -2.8905 eV/atom
SG = Pm-3m

Unit cell a=4.671 b=4.671 c=4.671 alpha=90.00 beta=90.00 gamma=90.00
Atoms (fractional coordinates):
Sb  0.000  0.000  0.000
Au  0.000  0.500  0.500
Au  0.500  0.000  0.500
Au  0.500  0.500  0.000
F  0.500  0.500  0.500